Model w:
# PmTmTc

PmTmTc after structural relaxation (PBE, Alexandria).

As for the space group: I4mm, No. 107. As for the density of states at the Fermi level: 4.0 states/eV per cell. Its spin magnetization is 0.00 μB per atom.

a b c (Å): 6.7461 6.7461 6.7461
angles (deg): 150.07 150.07 42.84
Closest atoms and distances in Å follow each position.
Sites, in units of the cell vectors:
Pm1 0.0000 0.0000 0.0000  4 Tc 3.00, 1 Tm 3.27
Tm1 0.2603 0.2603 0.0000  4 Tc 2.91
Tc1 0.6363 0.6363 0.0000  4 Tm 2.91, 4 Pm 3.00


Model x:
# PmTmTc

PmTmTc after structural relaxation (PBE, Alexandria).

As for the space group: P2_1/c, No. 14. As for the density of states at the Fermi level: 13.1 states/eV per cell. Its spin magnetization is 0.00 μB per atom.

a b c (Å): 6.1091 9.0572 5.7829
angles (deg): 90.00 101.00 90.00
Closest atoms and distances in Å follow each position.
Sites, in units of the cell vectors:
Pm1 0.1634 0.1640 0.1085  2 Tc 2.82-3.08
Pm2 0.1634 0.3360 0.6085  2 Tc 2.82-3.08
Pm3 0.8366 0.6640 0.3915  2 Tc 2.82-3.08
Pm4 0.8366 0.8360 0.8915  2 Tc 2.82-3.08
Tm1 0.2867 0.5982 0.0679  4 Tc 2.87-3.09
Tm2 0.2867 0.9018 0.5679  4 Tc 2.87-3.09
Tm3 0.7133 0.0982 0.4321  4 Tc 2.87-3.09
Tm4 0.7133 0.4018 0.9321  4 Tc 2.87-3.09
Tc1 0.4659 0.6080 0.6050  1 Tc 2.38
Tc2 0.4659 0.8920 0.1050  1 Tc 2.38
Tc3 0.5341 0.1080 0.8950  1 Tc 2.38
Tc4 0.5341 0.3920 0.3950  1 Tc 2.38


model w is favored, and the nearest alternative lies 113 meV per atom above it.


Model w:
# PmUTc2

PmUTc2 after structural relaxation (PBE, Alexandria).

As for the space group: P4/mmm, No. 123. As for the density of states at the Fermi level: 7.1 states/eV per cell. Its spin magnetization is 0.20 μB per atom.

a b c (Å): 4.8733 4.8733 3.3993
angles (deg): 90.00 90.00 90.00
Closest atoms and distances in Å follow each position.
Sites, in units of the cell vectors:
Pm1 0.0000 0.0000 0.0000  8 Tc 2.97
U1 0.5000 0.5000 0.0000  8 Tc 2.97
Tc1 0.0000 0.5000 0.5000  4 U 2.97, 4 Pm 2.97
Tc2 0.5000 0.0000 0.5000  4 U 2.97, 4 Pm 2.97


Model x:
# PmUTc2

PmUTc2 after structural relaxation (PBE, Alexandria).

As for the space group: Pnma, No. 62. As for the density of states at the Fermi level: 15.2 states/eV per cell. Its spin magnetization is 0.00 μB per atom.

a b c (Å): 8.6216 3.7694 10.9806
angles (deg): 90.00 90.00 90.00
Closest atoms and distances in Å follow each position.
Sites, in units of the cell vectors:
Pm1 0.1125 0.2500 0.1286  7 Tc 3.15-3.48, 2 U 3.50
Pm2 0.3875 0.7500 0.6286  7 Tc 3.15-3.48, 2 U 3.50
Pm3 0.6125 0.2500 0.3714  7 Tc 3.15-3.48, 2 U 3.50
Pm4 0.8875 0.7500 0.8714  7 Tc 3.15-3.48, 2 U 3.50
U1 0.0459 0.2500 0.6225  2 Tc 2.24-2.32
U2 0.4541 0.7500 0.1225  2 Tc 2.24-2.32
U3 0.5459 0.2500 0.8775  2 Tc 2.24-2.32
U4 0.9541 0.7500 0.3775  2 Tc 2.24-2.32
Tc1 0.1671 0.2500 0.8034  1 U 2.24
Tc2 0.1831 0.2500 0.4406  1 U 2.32
Tc3 0.3169 0.7500 0.9406  1 U 2.32
Tc4 0.3329 0.7500 0.3034  1 U 2.24
Tc5 0.6671 0.2500 0.6966  1 U 2.24
Tc6 0.6831 0.2500 0.0594  1 U 2.32
Tc7 0.8169 0.7500 0.5594  1 U 2.32
Tc8 0.8329 0.7500 0.1966  1 U 2.24


model x is favored, and the nearest alternative lies 257 meV per atom above it.


Model w:
# PmUTc2

PmUTc2 after structural relaxation (PBE, Alexandria).

As for the space group: P4/mmm, No. 123. As for the density of states at the Fermi level: 3.2 states/eV per cell. Its spin magnetization is 0.00 μB per atom.

a b c (Å): 3.3617 3.3617 7.2481
angles (deg): 90.00 90.00 90.00
Closest atoms and distances in Å follow each position.
Sites, in units of the cell vectors:
Pm1 0.0000 0.0000 0.0000  8 Tc 3.23, 4 Pm 3.36
U1 0.0000 0.0000 0.5000  8 Tc 2.78
Tc1 0.5000 0.5000 0.3024  4 U 2.78, 1 Tc 2.86
Tc2 0.5000 0.5000 0.6976  4 U 2.78, 1 Tc 2.86


Model x:
# PmUTc2

PmUTc2 after structural relaxation (PBE, Alexandria).

As for the space group: Fm-3m, No. 225. As for the density of states at the Fermi level: 7.1 states/eV per cell. Its spin magnetization is 0.23 μB per atom.

a b c (Å): 4.8536 4.8536 4.8536
angles (deg): 60.00 60.00 60.00
Closest atoms and distances in Å follow each position.
Sites, in units of the cell vectors:
Pm1 0.0000 0.0000 0.0000  8 Tc 2.97
U1 0.5000 0.5000 0.5000  8 Tc 2.97
Tc1 0.2500 0.2500 0.2500  4 U 2.97, 4 Pm 2.97
Tc2 0.7500 0.7500 0.7500  4 U 2.97, 4 Pm 2.97


Model y:
# PmUTc2

PmUTc2 after structural relaxation (PBE, Alexandria).

As for the space group: R-3m, No. 166. As for the density of states at the Fermi level: 4.3 states/eV per cell. Its spin magnetization is 0.00 μB per atom.

a b c (Å): 8.7341 8.7341 8.7341
angles (deg): 22.27 22.27 22.27
Closest atoms and distances in Å follow each position.
Sites, in units of the cell vectors:
Pm1 0.0000 0.0000 0.0000  6 Tc 3.19, 6 Pm 3.37
U1 0.5000 0.5000 0.5000  6 Tc 2.60
Tc1 0.2343 0.2343 0.2343  3 U 2.60
Tc2 0.7657 0.7657 0.7657  3 U 2.60


model w is favored, and the nearest alternative lies 169 meV per atom above it.


Model w:
# PmZnTc

PmZnTc after structural relaxation (PBE, Alexandria).

As for the space group: P-6m2, No. 187. As for the density of states at the Fermi level: 2.8 states/eV per cell. Its spin magnetization is 0.00 μB per atom.

a b c (Å): 4.3852 4.3852 3.7882
angles (deg): 90.00 90.00 120.00
Closest atoms and distances in Å follow each position.
Sites, in units of the cell vectors:
Pm1 0.0000 0.0000 0.0000  6 Tc 3.16, 6 Zn 3.16
Zn1 0.6667 0.3333 0.5000  3 Tc 2.53
Tc1 0.3333 0.6667 0.5000  3 Zn 2.53


Model x:
# PmZnTc

PmZnTc after structural relaxation (PBE, Alexandria).

As for the space group: Fddd, No. 70. As for the density of states at the Fermi level: 5.3 states/eV per cell. Its spin magnetization is 0.00 μB per atom.

a b c (Å): 9.3570 7.3987 7.2482
angles (deg): 79.40 51.01 49.59
Closest atoms and distances in Å follow each position.
Sites, in units of the cell vectors:
Pm1 0.1083 0.6417 0.6417  2 Tc 2.50
Pm2 0.3583 0.8917 0.8917  2 Tc 2.50
Pm3 0.6417 0.1083 0.1083  2 Tc 2.50
Pm4 0.8917 0.3583 0.3583  2 Tc 2.50
Zn1 0.1062 0.6438 0.1062  2 Tc 2.64
Zn2 0.3562 0.8938 0.3562  2 Tc 2.64
Zn3 0.6438 0.1062 0.6438  2 Tc 2.64
Zn4 0.8938 0.3562 0.8938  2 Tc 2.64
Tc1 0.0000 0.5000 0.5000  2 Pm 2.50, 2 Zn 2.64
Tc2 0.5000 0.0000 0.5000  2 Pm 2.50, 2 Zn 2.64
Tc3 0.5000 0.5000 0.0000  2 Pm 2.50, 2 Zn 2.64
Tc4 0.5000 0.5000 0.5000  2 Pm 2.50, 2 Zn 2.64


model w is favored, and the nearest alternative lies 447 meV per atom above it.


Model w:
# Pm5Te4

Pm5Te4 after structural relaxation (PBE, Alexandria).

As for the space group: I4/m, No. 87. As for the density of states at the Fermi level: 10.6 states/eV per cell. Its spin magnetization is 0.00 μB per atom.

a b c (Å): 9.0371 9.0371 9.0371
angles (deg): 93.14 93.14 152.93
Closest atoms and distances in Å follow each position.
Sites, in units of the cell vectors:
Pm1 0.0000 0.0000 0.0000  4 Te 3.23
Pm2 0.2875 0.6122 0.8998  5 Te 3.13-3.20
Pm3 0.3878 0.2875 0.6753  5 Te 3.13-3.20
Pm4 0.6122 0.7125 0.3247  5 Te 3.13-3.20
Pm5 0.7125 0.3878 0.1002  5 Te 3.13-3.20
Te1 0.0776 0.7519 0.8295  6 Pm 3.13-3.23
Te2 0.2481 0.0776 0.3257  6 Pm 3.13-3.23
Te3 0.7519 0.9224 0.6743  6 Pm 3.13-3.23
Te4 0.9224 0.2481 0.1705  6 Pm 3.13-3.23


Model x:
# Pm5Te4

Pm5Te4 after structural relaxation (PBE, Alexandria).

As for the space group: I4/mmm, No. 139. As for the density of states at the Fermi level: 8.9 states/eV per cell. Its spin magnetization is 0.00 μB per atom.

a b c (Å): 8.3841 8.3841 8.3841
angles (deg): 93.55 93.55 151.17
Closest atoms and distances in Å follow each position.
Sites, in units of the cell vectors:
Pm1 0.0000 0.0000 0.0000  8 Te 3.31, 4 Pm 3.59
Pm2 0.0000 0.3124 0.3124  4 Te 3.29, 1 Pm 3.59
Pm3 0.0000 0.6876 0.6876  4 Te 3.29, 1 Pm 3.59
Pm4 0.3124 0.0000 0.3124  4 Te 3.29, 1 Pm 3.59
Pm5 0.6876 0.0000 0.6876  4 Te 3.29, 1 Pm 3.59
Te1 0.3415 0.3415 0.6830  6 Pm 3.29-3.31, 4 Te 3.63-3.64
Te2 0.3415 0.6585 0.0000  6 Pm 3.29-3.31, 4 Te 3.63-3.64
Te3 0.6585 0.3415 0.0000  6 Pm 3.29-3.31, 4 Te 3.63-3.64
Te4 0.6585 0.6585 0.3170  6 Pm 3.29-3.31, 4 Te 3.63-3.64


model w is favored, and the nearest alternative lies 186 meV per atom above it.


Model w:
# PmTe

PmTe after structural relaxation (PBE, Alexandria).

As for the space group: Fm-3m, No. 225. As for the density of states at the Fermi level: 1.6 states/eV per cell. Its spin magnetization is 0.00 μB per atom.

a b c (Å): 4.4666 4.4666 4.4666
angles (deg): 60.00 60.00 60.00
Closest atoms and distances in Å follow each position.
Sites, in units of the cell vectors:
Pm1 0.0000 0.0000 0.0000  6 Te 3.16
Te1 0.5000 0.5000 0.5000  6 Pm 3.16


Model x:
# PmTe

PmTe after structural relaxation (PBE, Alexandria).

As for the space group: Pm-3m, No. 221. As for the density of states at the Fermi level: 1.6 states/eV per cell. Its spin magnetization is 0.19 μB per atom.

a b c (Å): 3.8561 3.8561 3.8561
angles (deg): 90.00 90.00 90.00
Closest atoms and distances in Å follow each position.
Sites, in units of the cell vectors:
Pm1 0.0000 0.0000 0.0000  8 Te 3.34
Te1 0.5000 0.5000 0.5000  8 Pm 3.34


model w is favored, and the nearest alternative lies 101 meV per atom above it.


Model w:
# Pm2ThTe5

Pm2ThTe5 after structural relaxation (PBE, Alexandria).

As for the space group: Cmcm, No. 63. Its spin magnetization is 0.00 μB per atom.

a b c (Å): 8.0137 8.0137 15.0719
angles (deg): 90.00 90.00 134.53
Closest atoms and distances in Å follow each position.
Sites, in units of the cell vectors:
Pm1 0.1485 0.8515 0.5532  6 Te 3.07-3.30
Pm2 0.1485 0.8515 0.9468  6 Te 3.07-3.30
Pm3 0.8515 0.1485 0.0532  6 Te 3.07-3.30
Pm4 0.8515 0.1485 0.4468  6 Te 3.07-3.30
Th1 0.2073 0.7927 0.2500  6 Te 3.04-3.19
Th2 0.7927 0.2073 0.7500  6 Te 3.04-3.19
Te1 0.0463 0.9537 0.1242  1 Th 3.04, 2 Pm 3.07
Te2 0.0463 0.9537 0.3758  1 Th 3.04, 2 Pm 3.07
Te3 0.2466 0.7534 0.7500  2 Th 3.17, 2 Pm 3.30
Te4 0.3245 0.6755 0.0722  3 Pm 3.14-3.22, 1 Th 3.19
Te5 0.3245 0.6755 0.4278  3 Pm 3.14-3.22, 1 Th 3.19
Te6 0.6755 0.3245 0.5722  3 Pm 3.14-3.22, 1 Th 3.19
Te7 0.6755 0.3245 0.9278  3 Pm 3.14-3.22, 1 Th 3.19
Te8 0.7534 0.2466 0.2500  2 Th 3.17, 2 Pm 3.30
Te9 0.9537 0.0463 0.6242  1 Th 3.04, 2 Pm 3.07
Te10 0.9537 0.0463 0.8758  1 Th 3.04, 2 Pm 3.07


Model x:
# Pm2ThTe5

Pm2ThTe5 after structural relaxation (PBE, Alexandria).

As for the space group: Pbam, No. 55. As for the density of states at the Fermi level: 1.0 states/eV per cell. Its spin magnetization is 0.00 μB per atom.

a b c (Å): 8.6354 13.9471 4.4633
angles (deg): 90.00 90.00 90.00
Closest atoms and distances in Å follow each position.
Sites, in units of the cell vectors:
Pm1 0.0259 0.1752 0.0000  8 Te 3.19-3.38
Pm2 0.4741 0.6752 0.0000  8 Te 3.19-3.38
Pm3 0.5259 0.3248 0.0000  8 Te 3.19-3.38
Pm4 0.9741 0.8248 0.0000  8 Te 3.19-3.38
Th1 0.0000 0.5000 0.5000  6 Te 3.09-3.18
Th2 0.5000 0.0000 0.5000  6 Te 3.09-3.18
Te1 0.0000 0.0000 0.5000  4 Pm 3.32
Te2 0.1712 0.3898 0.0000  2 Th 3.09, 2 Pm 3.19-3.24
Te3 0.1842 0.6971 0.5000  1 Th 3.18, 4 Pm 3.37-3.38
Te4 0.3158 0.1971 0.5000  1 Th 3.18, 4 Pm 3.37-3.38
Te5 0.3288 0.8898 0.0000  2 Th 3.09, 2 Pm 3.19-3.24
Te6 0.5000 0.5000 0.5000  4 Pm 3.32
Te7 0.6712 0.1102 0.0000  2 Th 3.09, 2 Pm 3.19-3.24
Te8 0.6842 0.8029 0.5000  1 Th 3.18, 4 Pm 3.37-3.38
Te9 0.8158 0.3029 0.5000  1 Th 3.18, 4 Pm 3.37-3.38
Te10 0.8288 0.6102 0.0000  2 Th 3.09, 2 Pm 3.19-3.24


model w is favored, and the nearest alternative lies 18 meV per atom above it.


Model w:
# Pm3ThTe6

Pm3ThTe6 after structural relaxation (PBE, Alexandria).

As for the space group: C2/m, No. 12. As for the density of states at the Fermi level: 3.8 states/eV per cell. Its spin magnetization is 0.00 μB per atom.

a b c (Å): 8.2383 8.2383 7.5211
angles (deg): 116.86 116.86 65.40
Closest atoms and distances in Å follow each position.
Sites, in units of the cell vectors:
Pm1 0.0000 0.0000 0.0000  6 Te 3.08-3.24
Pm2 0.2504 0.2504 0.8370  5 Te 3.10-3.19
Pm3 0.7496 0.7496 0.1630  5 Te 3.10-3.19
Th1 0.5000 0.5000 0.5000  6 Te 3.09-3.17
Te1 0.1635 0.6640 0.1642  3 Pm 3.08-3.19, 1 Th 3.09
Te2 0.2523 0.2523 0.4263  2 Pm 3.10-3.24, 1 Th 3.17
Te3 0.3360 0.8365 0.8358  3 Pm 3.08-3.19, 1 Th 3.09
Te4 0.6640 0.1635 0.1642  3 Pm 3.08-3.19, 1 Th 3.09
Te5 0.7477 0.7477 0.5737  2 Pm 3.10-3.24, 1 Th 3.17
Te6 0.8365 0.3360 0.8358  3 Pm 3.08-3.19, 1 Th 3.09


Model x:
# Pm3ThTe6

Pm3ThTe6 after structural relaxation (PBE, Alexandria).

As for the space group: P2_1/m, No. 11. As for the density of states at the Fermi level: 5.5 states/eV per cell. Its spin magnetization is 0.00 μB per atom.

a b c (Å): 12.6606 4.4050 13.0277
angles (deg): 90.00 108.34 90.00
Closest atoms and distances in Å follow each position.
Sites, in units of the cell vectors:
Pm1 0.0782 0.2500 0.1639  6 Te 3.13-3.17
Pm2 0.1787 0.7500 0.5035  7 Te 3.11-3.38
Pm3 0.3451 0.2500 0.9256  6 Te 3.08-3.17
Pm4 0.6549 0.7500 0.0744  6 Te 3.08-3.17
Pm5 0.8213 0.2500 0.4965  7 Te 3.11-3.38
Pm6 0.9218 0.7500 0.8361  6 Te 3.13-3.17
Th1 0.4558 0.2500 0.3035  8 Te 3.24-3.36
Th2 0.5442 0.7500 0.6965  8 Te 3.24-3.36
Te1 0.0144 0.2500 0.3776  4 Pm 3.12-3.28
Te2 0.1031 0.2500 0.9304  4 Pm 3.08-3.15
Te3 0.2542 0.7500 0.2840  3 Pm 3.17-3.29, 2 Th 3.32
Te4 0.3103 0.7500 0.7489  3 Pm 3.11-3.12, 1 Th 3.24
Te5 0.3882 0.2500 0.5330  3 Th 3.26-3.36, 2 Pm 3.38
Te6 0.4165 0.7500 0.1052  3 Pm 3.13-3.17, 2 Th 3.31
Te7 0.5835 0.2500 0.8948  3 Pm 3.13-3.17, 2 Th 3.31
Te8 0.6118 0.7500 0.4670  3 Th 3.26-3.36, 2 Pm 3.38
Te9 0.6897 0.2500 0.2511  3 Pm 3.11-3.12, 1 Th 3.24
Te10 0.7458 0.2500 0.7160  3 Pm 3.17-3.29, 2 Th 3.32
Te11 0.8969 0.7500 0.0696  4 Pm 3.08-3.15
Te12 0.9856 0.7500 0.6224  4 Pm 3.12-3.28


model x is favored, and the nearest alternative lies 186 meV per atom above it.